Li3Tm2AlS6: relaxed, PBE.

Structure (POSCAR):
```
Li3Tm2AlS6
1.0
3.252 -5.642 0.000
3.252 5.642 0.000
-2.142 0.000 6.127
Li Tm Al S
3 2 1 6
direct
0.000 0.000 0.000
0.343 0.657 0.000
0.657 0.343 0.000
0.168 0.832 0.500
0.832 0.168 0.500
0.500 0.500 0.500
0.111 0.420 0.259
0.269 0.269 0.735
0.420 0.111 0.259
0.580 0.889 0.741
0.731 0.731 0.265
0.889 0.580 0.741
```

Space-group type: C2/m

***

Li3Tm3AlS8: relaxed, PBE.

Structure (POSCAR):
```
Li3Tm3AlS8
1.0
3.803 2.195 6.079
-3.803 2.195 6.079
0.000 -4.391 6.079
Li Tm Al S
3 3 1 8
direct
0.000 0.500 0.500
0.500 0.000 0.500
0.500 0.500 0.000
0.000 0.000 0.500
0.000 0.500 0.000
0.500 0.000 0.000
0.500 0.500 0.500
0.251 0.251 0.251
0.268 0.268 0.729
0.268 0.729 0.268
0.271 0.732 0.732
0.729 0.268 0.268
0.732 0.271 0.732
0.732 0.732 0.271
0.749 0.749 0.749
```

Space-group type: R-3m

***

Li3U3AlS8: relaxed, PBE.

Structure (POSCAR):
```
Li3U3AlS8
1.0
3.833 2.213 6.199
-3.833 2.213 6.199
0.000 -4.426 6.199
Li U Al S
3 3 1 8
direct
0.000 0.500 0.500
0.500 0.000 0.500
0.500 0.500 0.000
0.000 0.000 0.500
0.000 0.500 0.000
0.500 0.000 0.000
0.500 0.500 0.500
0.253 0.253 0.253
0.270 0.270 0.726
0.270 0.726 0.270
0.274 0.730 0.730
0.726 0.270 0.270
0.730 0.274 0.730
0.730 0.730 0.274
0.747 0.747 0.747
```

Space-group type: R-3m

***

LiUAlS4: relaxed, PBE.

Structure (POSCAR):
```
LiUAlS4
1.0
6.458 -3.965 0.000
6.458 3.965 0.000
-4.051 0.000 5.993
Li U Al S
2 2 2 8
direct
0.111 0.111 0.361
0.889 0.889 0.639
0.000 0.500 0.000
0.500 0.000 0.000
0.500 0.500 0.000
0.500 0.500 0.500
0.264 0.264 0.263
0.264 0.264 0.765
0.289 0.707 0.748
0.293 0.711 0.252
0.707 0.289 0.748
0.711 0.293 0.252
0.736 0.736 0.235
0.736 0.736 0.737
```

Space-group type: C2/m

***

LiY2AlS: relaxed, PBE.

Structure (POSCAR):
```
LiY2AlS
1.0
5.258 0.000 0.000
0.000 5.258 0.000
0.000 0.000 4.343
Li Y Al S
1 2 1 1
direct
0.000 0.000 0.000
0.000 0.500 0.500
0.500 0.000 0.500
0.500 0.500 0.000
0.000 0.000 0.500
```

Space-group type: P4/mmm

***

Li2YAlS4: relaxed, PBE.

Structure (POSCAR):
```
Li2YAlS4
1.0
-3.635 3.839 5.273
3.635 -3.839 5.273
3.635 3.839 -5.273
Li Y Al S
4 2 2 8
direct
0.000 0.000 0.000
0.500 0.000 0.000
0.500 0.000 0.500
0.500 0.500 0.500
0.000 0.500 0.500
0.500 0.500 0.000
0.000 0.000 0.500
0.000 0.500 0.000
0.213 0.244 0.970
0.226 0.756 0.470
0.241 0.232 0.491
0.241 0.751 0.009
0.759 0.249 0.991
0.759 0.768 0.509
0.774 0.244 0.530
0.787 0.756 0.030
```

Space-group type: Imma

***

Li4Zr3AlS8: relaxed, PBE.

Structure (POSCAR):
```
Li4Zr3AlS8
1.0
3.640 2.102 6.141
-3.640 2.102 6.141
0.000 -4.203 6.141
Li Zr Al S
4 3 1 8
direct
0.000 0.000 0.000
0.000 0.500 0.500
0.500 0.000 0.500
0.500 0.500 0.000
0.000 0.000 0.500
0.000 0.500 0.000
0.500 0.000 0.000
0.500 0.500 0.500
0.251 0.251 0.251
0.262 0.262 0.736
0.262 0.736 0.262
0.264 0.738 0.738
0.736 0.262 0.262
0.738 0.264 0.738
0.738 0.738 0.264
0.749 0.749 0.749
```

Space-group type: R-3m

***

Li3Zr3AlS8: relaxed, PBE.

Structure (POSCAR):
```
Li3Zr3AlS8
1.0
3.629 2.095 6.215
-3.629 2.095 6.215
0.000 -4.190 6.215
Li Zr Al S
3 3 1 8
direct
0.000 0.500 0.500
0.500 0.000 0.500
0.500 0.500 0.000
0.000 0.000 0.500
0.000 0.500 0.000
0.500 0.000 0.000
0.500 0.500 0.500
0.250 0.250 0.250
0.262 0.736 0.736
0.264 0.264 0.738
0.264 0.738 0.264
0.736 0.262 0.736
0.736 0.736 0.262
0.738 0.264 0.264
0.750 0.750 0.750
```

Space-group type: R-3m

***

Li2ZrAlS4: relaxed, PBE.

Structure (POSCAR):
```
Li2ZrAlS4
1.0
6.397 0.000 0.000
0.000 3.553 0.000
-2.084 0.000 6.099
Li Zr Al S
2 1 1 4
direct
0.000 0.000 0.000
0.000 0.500 0.500
0.500 0.000 0.500
0.500 0.500 0.000
0.258 0.500 0.236
0.273 0.000 0.769
0.727 0.000 0.231
0.742 0.500 0.764
```

Space-group type: P2/m

***

Li4AlSb: relaxed, PBE.

Structure (POSCAR):
```
Li4AlSb
1.0
0.000 3.776 3.776
3.776 0.000 3.776
3.776 3.776 0.000
Li Al Sb
4 1 1
direct
0.125 0.125 0.125
0.125 0.125 0.624
0.125 0.624 0.125
0.624 0.125 0.125
0.500 0.500 0.500
0.750 0.750 0.750
```

Space-group type: F-43m

***

LiAlSb2: relaxed, PBE.

Structure (POSCAR):
```
LiAlSb2
1.0
2.203 1.272 5.737
-2.203 1.272 5.737
0.000 -2.544 5.737
Li Al Sb
1 1 2
direct
0.000 0.000 0.000
0.168 0.168 0.168
0.579 0.579 0.579
0.752 0.752 0.752
```

Space-group type: R3m

***

LiAl2Sb: relaxed, PBE.

Structure (POSCAR):
```
LiAl2Sb
1.0
3.153 0.000 0.000
0.000 4.219 0.000
0.000 0.000 5.912
Li Al Sb
1 2 1
direct
0.000 0.000 0.000
0.000 0.000 0.534
0.500 0.500 0.729
0.500 0.500 0.231
```

Space-group type: Pmm2

***

LiAl2Sb: relaxed, PBE.

Structure (POSCAR):
```
LiAl2Sb
1.0
2.763 -5.400 0.000
2.763 5.400 0.000
-1.742 0.000 2.651
Li Al Sb
1 2 1
direct
0.000 0.000 0.000
0.000 0.500 0.000
0.500 0.000 0.000
0.500 0.500 0.000
```

Space-group type: C2/m

***

LiAl2Sb: relaxed, PBE.

Structure (POSCAR):
```
LiAl2Sb
1.0
-2.012 2.012 4.718
2.012 -2.012 4.718
2.012 2.012 -4.718
Li Al Sb
1 2 1
direct
0.000 0.000 0.000
0.250 0.750 0.500
0.750 0.250 0.500
0.500 0.500 0.000
```

Space-group type: I4/mmm

***

Li2AlSb: relaxed, PBE.

Structure (POSCAR):
```
Li2AlSb
1.0
1.985 -2.408 0.000
1.985 2.408 0.000
0.000 0.000 8.786
Li Al Sb
2 1 1
direct
0.000 0.000 0.000
0.500 0.500 0.271
0.500 0.500 0.779
0.000 0.000 0.515
```

Space-group type: Cmm2

***

Li2AlSb: relaxed, PBE.

Structure (POSCAR):
```
Li2AlSb
1.0
1.625 0.938 8.993
-1.625 0.938 8.993
0.000 -1.876 8.993
Li Al Sb
2 1 1
direct
0.249 0.249 0.249
0.751 0.751 0.751
0.000 0.000 0.000
0.500 0.500 0.500
```

Space-group type: R-3m

***

LiAlSb: relaxed, PBE.

Structure (POSCAR):
```
LiAlSb
1.0
3.367 0.000 0.000
-1.683 2.916 0.000
0.000 0.000 6.560
Li Al Sb
1 1 1
direct
0.000 0.000 0.000
0.333 0.667 0.676
0.667 0.333 0.340
```

Space-group type: P3m1

***

Li3AlSb2: relaxed, PBE.

Structure (POSCAR):
```
Li3AlSb2
1.0
-3.289 6.599 3.470
3.289 -6.599 3.470
3.289 6.599 -3.470
Li Al Sb
6 2 4
direct
0.016 0.750 0.266
0.250 0.250 0.000
0.484 0.750 0.734
0.516 0.250 0.266
0.750 0.750 0.000
0.984 0.250 0.734
0.000 0.500 0.500
0.500 0.000 0.500
0.134 0.227 0.361
0.366 0.727 0.093
0.634 0.273 0.907
0.866 0.773 0.639
```

Space-group type: Ibam

***

LiAl2Sb: relaxed, PBE.

Structure (POSCAR):
```
LiAl2Sb
1.0
-2.043 2.167 4.402
2.043 -2.167 4.402
2.043 2.167 -4.402
Li Al Sb
1 2 1
direct
0.000 0.000 0.000
0.504 0.504 0.000
0.750 0.250 0.500
0.251 0.751 0.500
```

Space-group type: Imm2

***

Li2AlSb: relaxed, PBE.

Structure (POSCAR):
```
Li2AlSb
1.0
3.172 0.000 0.000
0.000 3.172 0.000
0.000 0.000 8.248
Li Al Sb
2 1 1
direct
0.000 0.000 0.000
0.500 0.500 0.265
0.500 0.500 0.787
0.000 0.000 0.508
```

Space-group type: P4mm

***

LiAl2Sb: relaxed, PBE.

Structure (POSCAR):
```
LiAl2Sb
1.0
2.066 -2.243 0.000
2.066 2.243 0.000
0.000 0.000 8.556
Li Al Sb
1 2 1
direct
0.000 0.000 0.000
0.000 0.000 0.538
0.500 0.500 0.764
0.500 0.500 0.259
```

Space-group type: Cmm2

***

Li3AlSb: relaxed, PBE.

Structure (POSCAR):
```
Li3AlSb
1.0
4.830 0.000 0.000
0.000 4.830 0.000
0.000 0.000 4.830
Li Al Sb
3 1 1
direct
0.000 0.000 0.500
0.000 0.500 0.000
0.500 0.000 0.000
0.000 0.000 0.000
0.500 0.500 0.500
```

Space-group type: Pm-3m

***

Li5Al2Sb4: relaxed, PBE.

Structure (POSCAR):
```
Li5Al2Sb4
1.0
4.432 0.000 0.000
-0.002 7.584 0.000
-2.213 -2.685 8.153
Li Al Sb
5 2 4
direct
0.000 0.000 0.000
0.320 0.516 0.641
0.329 0.089 0.661
0.671 0.911 0.339
0.680 0.484 0.359
0.056 0.664 0.113
0.944 0.336 0.887
0.217 0.733 0.433
0.483 0.780 0.966
0.517 0.220 0.034
0.783 0.267 0.567
```

Space-group type: P-1

***

LiAlSb: relaxed, PBE.

Structure (POSCAR):
```
LiAlSb
1.0
0.000 2.705 4.322
2.701 0.000 4.322
2.701 2.705 0.000
Li Al Sb
1 1 1
direct
0.000 0.000 0.000
0.684 0.684 0.316
0.331 0.331 0.669
```

Space-group type: Fmm2

***

Li2AlSb: relaxed, PBE.

Structure (POSCAR):
```
Li2AlSb
1.0
3.744 0.000 0.000
0.000 3.744 0.000
0.000 0.000 5.652
Li Al Sb
2 1 1
direct
0.000 0.000 0.000
0.500 0.500 0.258
0.500 0.500 0.749
0.000 0.000 0.510
```

Space-group type: P4mm

***

Computed values of raw total energy (unit: eV/atom) for the preceding records, in sequence: -5.213 -5.305 -6.380 -5.991 -5.342 -5.293 -5.788 -5.977 -5.398 -2.671 -3.627 -3.422 -3.439 -3.439 -2.940 -3.016 -3.275 -3.250 -3.413 -2.934 -3.387 -2.449 -3.341 -3.348 -3.138.
Computed values of raw formation energy (unit: eV per atom) for the preceding records, in sequence: -1.61 -1.58 -1.29 -1.21 -0.80 -1.47 -1.41 -1.43 -1.32 -0.08 -0.15 -0.04 -0.06 -0.06 -0.02 -0.09 -0.02 -0.29 -0.03 -0.01 -0.01 0.27 -0.29 -0.09 -0.21.